Ce3YTl3Se8, optimized geometry, DFT PBE; formation energy from raw total energies = -1434.3 meV/atom; E = -80.75 eV for the cell shown
1.0
7.401 -4.274 0.000
7.401 4.274 0.000
-4.936 0.000 7.746
Ce Y Tl Se
3 1 3 8
Direct
0.000 0.000 0.000
0.000 0.500 0.000
0.500 0.000 0.000
0.500 0.500 0.000
0.000 0.500 0.500
0.500 0.000 0.500
0.500 0.500 0.500
0.237 0.237 0.209
0.239 0.732 0.203
0.268 0.268 0.798
0.268 0.761 0.797
0.732 0.239 0.203
0.732 0.732 0.202
0.761 0.268 0.797
0.763 0.763 0.791